Record 1
{
  "formula": "KSbTe2",
  "functional": "PBE",
  "state": "optimized geometry",
  "lattice_angstrom": [[7.811, 0.000, 0.000], [0.000, 7.811, 0.000], [3.906, 3.906, 6.700]],
  "species": ["Te", "Te", "Te", "Te", "Sb", "Sb", "K", "K"],
  "frac_coords": [[0.064, 0.625, 0.250], [0.686, 0.125, 0.250], [0.875, 0.936, 0.750], [0.375, 0.314, 0.750], [0.000, 0.000, 0.000], [0.750, 0.250, 0.500], [0.500, 0.500, 0.000], [0.250, 0.750, 0.500]],
  "space_group": "I-42d",
  "e_form_raw_ev_per_atom": -0.3620
}

Record 2
{
  "formula": "Na2YPb9",
  "functional": "PBE",
  "state": "optimized geometry",
  "lattice_angstrom": [[4.862, 0.000, 0.000], [0.000, 4.862, 0.000], [0.000, 0.000, 15.029]],
  "species": ["Na", "Na", "Pb", "Pb", "Pb", "Pb", "Pb", "Pb", "Pb", "Pb", "Pb", "Y"],
  "frac_coords": [[0.000, 0.000, 0.668], [0.000, 0.000, 0.332], [0.000, 0.500, 0.500], [0.000, 0.500, 0.833], [0.500, 0.500, 0.336], [0.500, 0.500, 0.000], [0.500, 0.000, 0.833], [0.500, 0.500, 0.664], [0.000, 0.500, 0.167], [0.500, 0.000, 0.167], [0.500, 0.000, 0.500], [0.000, 0.000, 0.000]],
  "formation_energy_ev_per_atom": -0.18,
  "space_group": "P4/mmm"
}

Record 3
{
  "formula": "YCdGe",
  "functional": "PBE",
  "state": "optimized geometry",
  "lattice_angstrom": [[-0.721, 3.402, -2.082], [-4.375, -0.875, 0.085], [1.861, 2.397, 3.273]],
  "species": ["Cd", "Ge", "Y"],
  "frac_coords": [[0.240, 0.667, 0.333], [0.071, 0.000, 0.000], [0.689, 0.333, 0.667]],
  "formation_energy_ev_per_atom": -0.45,
  "space_group": "P3m1"
}

Record 4
{
  "formula": "MnInPd3",
  "functional": "PBE",
  "state": "optimized geometry",
  "lattice_angstrom": [[-2.889, -2.663, 2.892], [3.849, -1.183, 2.755], [-0.803, 3.913, 2.802]],
  "species": ["In", "Mn", "Pd", "Pd", "Pd"],
  "frac_coords": [[0.000, 0.000, 0.000], [0.500, 0.500, 0.500], [0.000, 0.500, 0.000], [0.000, 0.000, 0.500], [0.500, 0.000, 0.000]],
  "formation_energy_ev_per_atom": 1.34,
  "e_above_lowest_polymorph_ev_per_fu": 8.54,
  "space_group": "Pm-3m"
}

Record 5
{
  "formula": "AcAlCo2C",
  "functional": "PBE",
  "state": "optimized geometry",
  "lattice_angstrom": [[4.235, 0.000, 0.000], [-2.117, 5.524, 0.000], [0.000, 0.000, 6.913]],
  "species": ["Ac", "Ac", "Al", "Al", "Co", "Co", "Co", "Co", "C", "C"],
  "frac_coords": [[0.434, 0.868, 0.750], [0.566, 0.132, 0.250], [0.281, 0.563, 0.250], [0.719, 0.437, 0.750], [0.845, 0.690, 0.066], [0.155, 0.310, 0.934], [0.155, 0.310, 0.566], [0.845, 0.690, 0.434], [0.000, 0.000, 0.500], [0.000, 0.000, 0.000]],
  "formation_energy_ev_per_atom": -0.17,
  "space_group": "Cmcm"
}

Record 6
{
  "formula": "Cr2TcTeRh",
  "functional": "PBE",
  "state": "optimized geometry",
  "lattice_angstrom": [[-2.001, -2.250, 3.467], [4.217, -0.350, 2.207], [-0.786, 3.989, 2.135]],
  "species": ["Cr", "Cr", "Tc", "Te", "Rh"],
  "frac_coords": [[0.500, 0.000, 0.000], [0.000, 0.000, 0.500], [0.000, 0.500, 0.000], [0.000, 0.000, 0.000], [0.500, 0.500, 0.500]],
  "space_group": "P4/mmm",
  "e_form_raw_ev_per_atom": 2.0210
}

Number 1: Fermi-level density of states 0.0 states/eV/f.u.. Number 2: Fermi-level density of states 4.9 states/eV/f.u.. Number 3: Fermi-level density of states 1.1 states/eV/f.u.. Number 4: Fermi-level density of states 17.0 states/eV/f.u.. Number 5: Fermi-level density of states 3.2 states/eV/f.u.. Number 6: Fermi-level density of states 12.4 states/eV/f.u..